## FeBSe2 (PBE-GGA)

Data for crystalline FeBSe2 at its relaxed geometry.

Calculated values
ΔE_f (raw): 0.154 eV/atom

a = 5.365 Å, b = 5.365 Å, c = 9.583 Å
α = 90.00°, β = 90.00°, γ = 90.00°
Space group I-42d (No. 122)
One atom of each set of equivalent atoms:
Fe 0.000 0.000 0.000
B 0.000 0.000 0.500
Se 0.201 0.250 0.625

---

## Ce5As4N (PBE-GGA)

Data for crystalline Ce5As4N at its relaxed geometry.

Calculated values
ΔE_f (raw): -1.320 eV/atom

a = 9.141 Å, b = 9.141 Å, c = 5.914 Å
α = 90.00°, β = 90.00°, γ = 90.00°
Space group I4 (No. 79)
One atom of each set of equivalent atoms:
Ce 0.000 0.000 0.000
Ce 0.094 0.277 0.448
As 0.091 0.303 0.948
N 0.000 0.000 0.385

---

## Dy3Ho5Er2 (PBE-GGA)

Data for crystalline Dy3Ho5Er2 at its relaxed geometry.

Calculated values
energy: -4.22 eV per atom

a = 12.693 Å, b = 16.769 Å, c = 6.211 Å
α = 90.00°, β = 90.00°, γ = 90.00°
Space group Ibam (No. 72)
One atom of each set of equivalent atoms:
Dy 0.000 0.000 0.250
Dy 0.159 0.250 0.000
Ho 0.000 0.500 0.250
Ho 0.099 0.343 0.500
Ho 0.250 0.000 0.250
Er 0.099 0.157 0.500

---

## KTa2As2 (PBE-GGA)

Data for crystalline KTa2As2 at its relaxed geometry.

Calculated values
energy: -7.15 eV per atom

a = 4.092 Å, b = 4.092 Å, c = 14.127 Å
α = 90.00°, β = 90.00°, γ = 90.00°
Space group I4/mmm (No. 139)
One atom of each set of equivalent atoms:
K 0.000 0.000 0.000
Ta 0.000 0.500 0.250
As 0.000 0.000 0.369

---

## Ce8P3Se4Cl (PBE-GGA)

Data for crystalline Ce8P3Se4Cl at its relaxed geometry.

Calculated values
ΔE_f (raw): -1.692 eV/atom

a = 8.2557 Å, b = 8.2557 Å, c = 20.3944 Å
α = 90.00°, β = 90.00°, γ = 120.00°
Space group R-3m (No. 166, hexagonal axes)
One atom of each set of equivalent atoms:
Ce 0.0000 0.0000 0.2448
Ce 0.0067 0.5034 0.7541
P 0.0000 0.5000 0.5000
Se 0.0000 0.0000 0.0000
Se 0.0000 0.5000 0.0000
Cl 0.0000 0.0000 0.5000

---

## LiPdSe2 (PBE-GGA)

Data for crystalline LiPdSe2 at its relaxed geometry.

Calculated values
ΔE_f (raw): -0.403 eV/atom

a = 3.8274 Å, b = 3.8274 Å, c = 22.5049 Å
α = 90.00°, β = 90.00°, γ = 120.00°
Space group R-3m (No. 166, hexagonal axes)
One atom of each set of equivalent atoms:
Li 0.0000 0.0000 0.0000
Pd 0.0000 0.0000 0.5000
Se 0.0000 0.0000 0.1082